1.
CaRh3Pb: relaxed, GGA-PBE.

```
CaRh3Pb
1.0
4.809 0.000 0.000
0.000 4.809 0.000
0.000 0.000 4.809
Rh Pb Ca
3 1 1
Direct
0.000 0.000 0.500
0.000 0.500 0.000
0.500 0.000 0.000
0.500 0.500 0.500
0.000 0.000 0.000
```

Calculated values
The value obtained for the total magnetization is 0.95 μB per cell. The density of states at the Fermi level comes out at 4.3 states/eV per cell. Its space group is Pm-3m.

2.
AcPrNdHo: relaxed, GGA-PBE.

```
AcPrNdHo
1.0
-5.591 -1.202 1.599
-1.608 -5.588 1.200
-1.209 -1.606 5.587
Ac Ho Nd Pr
1 1 1 1
Direct
0.000 0.000 0.000
0.500 0.500 0.500
0.250 0.250 0.250
0.750 0.750 0.750
```

Calculated values
The value obtained for the total magnetization is 1.25 μB per cell. The density of states at the Fermi level comes out at 9.9 states/eV per cell. Its space group is F-43m.

| no. | final energy (eV/atom) |
| --- | --- |
| 1 | -4.45 |
| 2 | -4.39 |